Entry 1:
First-principles (GGA-PBEsol) data for crystalline Ba2CdMo at its relaxed geometry, as listed in Alexandria.

```
4
Lattice="3.211 0.000 0.000 -1.605 3.344 0.049 0.000 -0.820 10.805" Properties=species:S:1:pos:R:3 pbc="T T T"
Mo 1.605 0.000 0.000
Ba 0.000 1.555 2.495
Ba 1.605 0.969 8.359
Cd 0.000 -0.410 5.402
```

Values from the calculation:
D(E_F) ... 0.851 states/eV/atom
SG ... C2/m, No. 12
Energy of formation ... 880 meV per atom
Crystal system ... monoclinic

***

Entry 2:
First-principles (GGA-PBEsol) data for crystalline ZnTeSe2 at its relaxed geometry, as listed in Alexandria.

```
4
Lattice="-1.735 -2.072 -2.585 2.641 -1.790 2.367 -5.424 -1.547 4.882" Properties=species:S:1:pos:R:3 pbc="T T T"
Zn -0.868 -1.036 -1.292
Se -1.209 -0.345 1.088
Se -4.215 -1.202 3.793
Te -3.580 -1.809 1.149
```

Values from the calculation:
Formation energy without anion corrections ... 0.133 eV/f.u.
D(E_F) ... 0.476 states/eV/atom
SG ... Cmmm, No. 65
Crystal system ... orthorhombic

***

Entry 3:
First-principles (GGA-PBEsol) data for crystalline Ta2BeCl at its relaxed geometry, as listed in Alexandria.

```
4
Lattice="2.817 0.019 0.000 -1.144 2.575 0.000 0.000 0.000 8.463" Properties=species:S:1:pos:R:3 pbc="T T T"
Ta 0.000 0.000 6.273
Ta 0.000 0.000 2.191
Cl 0.837 1.297 0.000
Be 0.837 1.297 4.232
```

Values from the calculation:
Formation energy without anion corrections ... 1.438 eV/f.u.
Energy above the lowest structure with this stoichiometry ... 0.00 eV/f.u.
D(E_F) ... 0.685 states/eV/atom
SG ... Cmmm, No. 65
Crystal system ... orthorhombic

***

Entry 4:
First-principles (GGA-PBEsol) data for crystalline SiNiTe at its relaxed geometry, as listed in Alexandria.

```
3
Lattice="3.702 0.000 0.000 -1.851 3.206 0.000 0.000 0.000 4.592" Properties=species:S:1:pos:R:3 pbc="T T T"
Si 0.000 2.137 3.585
Te 1.851 1.069 1.186
Ni 0.000 0.000 4.413
```

Values from the calculation:
Formation energy without anion corrections ... -0.223 eV/f.u.
D(E_F) ... 0.402 states/eV/atom
SG ... P3m1, No. 156
Crystal system ... trigonal

***

no.,total magnetic moment (μB per formula unit)
1,0.7
2,0.0
3,0.0
4,0.0